The following is a PBE with a Hubbard U calculation of an optimized crystal structure of TiFeNO2, from the Alexandria database.

Unit cell a=3.834 b=3.834 c=3.958 alpha=90.00 beta=90.00 gamma=90.00
Sites, in units of the cell vectors:
Ti (0.000, 0.000, 0.000)
O (0.500, 0.000, 0.000)
O (0.000, 0.500, 0.000)
N (0.000, 0.000, 0.500)
Fe (0.500, 0.500, 0.500)

Output
- magnetization (μB per cell) = 3.925
- E (eV/atom) = -7.39
- density of states at the Fermi level (states/eV per cell) = 1.99

The following is a PBE with a Hubbard U calculation of an optimized crystal structure of TlFeN2O, from the Alexandria database.

Unit cell a=3.672 b=3.672 c=4.183 alpha=90.00 beta=90.00 gamma=90.00
Sites, in units of the cell vectors:
N (0.000, 0.500, 0.000)
N (0.500, 0.000, 0.000)
Tl (0.500, 0.500, 0.500)
Fe (0.000, 0.000, 0.000)
O (0.000, 0.000, 0.500)

Output
- magnetization (μB per cell) = 0.000
- E (eV/atom) = -4.77
- density of states at the Fermi level (states/eV per cell) = 4.38

The following is a PBE with a Hubbard U calculation of an optimized crystal structure of TlFeN2O, from the Alexandria database.

Unit cell a=4.256 b=4.256 c=4.176 alpha=90.00 beta=90.00 gamma=90.00
Sites, in units of the cell vectors:
Tl (0.000, 0.000, 0.000)
Fe (0.500, 0.500, 0.500)
N (0.000, 0.500, 0.000)
N (0.500, 0.000, 0.000)
O (0.000, 0.000, 0.500)

Output
- magnetization (μB per cell) = 5.837
- E (eV/atom) = -4.01
- density of states at the Fermi level (states/eV per cell) = 3.87

Question: Which value of magnetization does entry 3 give?
Answer: 5.837 μB per cell